# MoSeIO2

MoSeIO2 after structural relaxation (PBE with a Hubbard U, Alexandria via LeMat-Bulk).

Properties
Space group ... P4/mmm, No. 123
Energy above the lowest structure with this stoichiometry ... 92 meV per atom
Fermi-level density of states ... 2.3 states/eV per cell

a = 3.9515 Å, b = 3.9515 Å, c = 7.6474 Å
α = 90.00°, β = 90.00°, γ = 90.00°
Site moments in Bohr magnetons follow the coordinates.
Sites, in units of the cell vectors:
I 0.0000 0.0000 0.5000  0.02
Mo 0.0000 0.0000 0.0000  2.08
O 0.0000 0.5000 0.0000  -0.21
O 0.5000 0.0000 0.0000  -0.21
Se 0.5000 0.5000 0.5000  -0.02